Entry 1:
AcPmSm5Dy2 (PBE, optimized geometry); space group = Cmc2_1; E_tot = -4.48 eV/atom; size of the total moment = 0.000 μB/atom; formation energy from the elements = 146 meV per atom
1.0
5.5957 0.0000 0.0000
-2.7979 12.1057 0.0000
0.0000 0.0000 9.4700
Ac Pm Sm Dy
2 2 10 4
direct
0.6021 0.2042 0.9273
0.3979 0.7958 0.4273
0.7620 0.5239 0.5367
0.2380 0.4761 0.0367
0.3964 0.7928 0.0312
0.7416 0.4832 0.8623
0.4756 0.9512 0.7512
0.3101 0.6202 0.7266
0.0079 0.0158 0.5286
0.6036 0.2072 0.5312
0.2584 0.5168 0.3623
0.5244 0.0488 0.2512
0.6899 0.3798 0.2266
0.9921 0.9842 0.0286
0.8878 0.7757 0.7850
0.1711 0.3421 0.6750
0.1122 0.2243 0.2850
0.8289 0.6579 0.1750


Entry 2:
AcPm2Sm2Dy (PBE, optimized geometry); space group = Pmma; E_tot = -4.55 eV/atom; size of the total moment = 0.000 μB/atom; formation energy from the elements = 63 meV per atom
1.0
-2.7549 0.8235 5.0404
-5.5220 -4.0922 -2.3496
4.4369 -8.1435 3.7555
Ac Pm Sm Dy
2 4 4 2
direct
0.0000 0.0074 0.5000
0.0000 0.5074 0.5000
0.0000 0.2579 0.8378
0.5000 0.2574 0.3266
0.0000 0.7579 0.1622
0.5000 0.7574 0.6734
0.5000 0.0078 0.0000
0.0000 0.2579 0.1642
0.5000 0.5078 0.0000
0.0000 0.7579 0.8358
0.5000 0.2573 0.6690
0.5000 0.7573 0.3310


Entry 3:
Ac2Pm2SmDy (PBE, optimized geometry); space group = Pmma; E_tot = -4.42 eV/atom; size of the total moment = 0.000 μB/atom; formation energy from the elements = 86 meV per atom
1.0
-0.9385 1.7175 -5.5845
5.0693 -4.7898 -2.3251
-7.2108 -7.1522 -0.9878
Ac Pm Sm Dy
4 4 2 2
direct
0.5000 0.0077 0.0002
0.0000 0.2578 0.1752
0.5000 0.5077 0.9998
0.0000 0.7578 0.8248
0.0000 0.2576 0.8266
0.5000 0.2576 0.3443
0.0000 0.7576 0.1734
0.5000 0.7576 0.6557
0.0000 0.0075 0.4999
0.0000 0.5075 0.5001
0.5000 0.2574 0.6634
0.5000 0.7574 0.3366


Entry 4:
AcPmSm6Dy2 (PBE, optimized geometry); space group = C2/c; E_tot = -4.51 eV/atom; size of the total moment = 0.000 μB/atom; formation energy from the elements = 124 meV per atom
1.0
-3.9504 0.6530 8.8945
7.4798 -3.9991 3.0876
0.1771 8.9564 -1.1069
Ac Pm Sm Dy
2 2 12 4
direct
0.2500 0.9706 0.0294
0.7500 0.0294 0.9706
0.2500 0.4098 0.5902
0.7500 0.5902 0.4098
0.0555 0.1212 0.7497
0.4445 0.2503 0.8788
0.9445 0.8788 0.2503
0.5555 0.7497 0.1212
0.3198 0.9833 0.4436
0.1802 0.5564 0.0167
0.6802 0.0167 0.5564
0.8198 0.4436 0.9833
0.1189 0.7085 0.4913
0.3811 0.5087 0.2915
0.8811 0.2915 0.5087
0.6189 0.4913 0.7085
0.4529 0.8003 0.6896
0.0471 0.3104 0.1997
0.5471 0.1997 0.3104
0.9529 0.6896 0.8003


Entry 5:
Ac2Pm5SmDy (PBE, optimized geometry); space group = Cmc2_1; E_tot = -4.45 eV/atom; size of the total moment = 0.000 μB/atom; formation energy from the elements = 137 meV per atom
1.0
5.8420 0.0000 0.0000
-2.9210 10.2937 0.0000
0.0000 0.0000 11.0178
Ac Pm Sm Dy
4 10 2 2
direct
0.8810 0.7621 0.8224
0.1111 0.2222 0.7334
0.1190 0.2379 0.3224
0.8889 0.7778 0.2334
0.3952 0.7904 0.0245
0.7160 0.4319 0.8051
0.4797 0.9594 0.7424
0.2958 0.5916 0.6991
0.9799 0.9598 0.5258
0.6048 0.2096 0.5245
0.2841 0.5681 0.3051
0.5203 0.0406 0.2424
0.7042 0.4084 0.1991
0.0201 0.0402 0.0258
0.7927 0.5855 0.5067
0.2073 0.4145 0.0067
0.5897 0.1794 0.9646
0.4103 0.8206 0.4646


Entry 6:
AcPm4Sm2Dy (PBE, optimized geometry); space group = C2/c; E_tot = -4.25 eV/atom; size of the total moment = 0.000 μB/atom; formation energy from the elements = 394 meV per atom
1.0
9.5581 -0.0170 -1.6912
-0.0237 9.5581 -1.6912
-6.0626 -6.0669 8.4157
Ac Pm Sm Dy
2 8 4 2
direct
0.0000 0.5000 0.0000
0.0000 0.5000 0.5000
0.2625 0.7687 0.0154
0.7313 0.2375 0.4846
0.2687 0.7625 0.5154
0.7375 0.2313 0.9846
0.7211 0.7376 0.9772
0.7624 0.7789 0.5228
0.2376 0.2211 0.4772
0.2789 0.2624 0.0228
0.5000 0.0000 0.0000
0.5000 0.0000 0.5000
0.0000 0.0000 0.5000
0.5000 0.5000 0.0000
0.5000 0.5000 0.5000
0.0000 0.0000 0.0000


Entry 7:
AcPm5Sm2Dy (PBE, optimized geometry); space group = I4/mcm; E_tot = -4.39 eV/atom; size of the total moment = 0.000 μB/atom; formation energy from the elements = 262 meV per atom
1.0
9.0058 0.0000 0.0000
0.0000 9.0058 0.0000
-4.5029 -4.5029 7.8685
Ac Pm Sm Dy
2 10 4 2
direct
0.2500 0.2500 0.5000
0.7500 0.7500 0.5000
0.9287 0.4287 0.2646
0.6641 0.1641 0.7354
0.0713 0.5713 0.7354
0.1641 0.0713 0.7354
0.5713 0.6641 0.7354
0.8359 0.9287 0.2646
0.4287 0.3359 0.2646
0.3359 0.8359 0.2646
0.5000 0.5000 0.0000
0.0000 0.0000 0.0000
0.1160 0.3840 0.0000
0.6160 0.1160 0.0000
0.3840 0.8840 0.0000
0.8840 0.6160 0.0000
0.2500 0.7500 0.5000
0.7500 0.2500 0.5000


Entry 8:
AcPmSm2Dy4 (PBE, optimized geometry); space group = Imma; E_tot = -4.16 eV/atom; size of the total moment = 0.244 μB/atom; formation energy from the elements = 428 meV per atom
1.0
9.4990 -0.0217 -1.7313
-0.0284 9.4990 -1.7313
-6.0244 -6.0286 8.4060
Ac Pm Sm Dy
2 2 4 8
direct
0.0000 0.5000 0.0000
0.0000 0.5000 0.5000
0.5000 0.5000 0.5000
0.0000 0.0000 0.0000
0.5000 0.0000 0.0000
0.5000 0.0000 0.5000
0.0000 0.0000 0.5000
0.5000 0.5000 0.0000
0.2634 0.7621 0.0127
0.7379 0.2366 0.4873
0.2621 0.7633 0.5127
0.7367 0.2379 0.9873
0.7419 0.7583 0.0006
0.7417 0.7581 0.4994
0.2583 0.2419 0.5006
0.2581 0.2417 0.9994


Entry 9:
AcPmSmDy3 (PBE, optimized geometry); space group = C2/m; E_tot = -4.34 eV/atom; size of the total moment = 0.000 μB/atom; formation energy from the elements = 229 meV per atom
1.0
-3.9308 -3.2857 2.5215
8.5781 -0.5708 6.1632
-2.3597 5.7345 3.7940
Ac Pm Sm Dy
2 2 2 6
direct
0.3555 0.7110 0.9678
0.6445 0.2890 0.0322
0.0555 0.1111 0.2864
0.9445 0.8889 0.7136
0.6501 0.3003 0.4712
0.3499 0.6997 0.5288
0.8333 0.6667 0.2693
0.7805 0.5610 0.7492
0.4790 0.9581 0.2728
0.2195 0.4390 0.2508
0.5210 0.0419 0.7272
0.1667 0.3333 0.7307


Entry 10:
AcPmSm4Dy2 (PBE, optimized geometry); space group = C2/m; E_tot = -4.58 eV/atom; size of the total moment = 0.000 μB/atom; formation energy from the elements = 35 meV per atom
1.0
-1.1178 0.9127 4.9562
3.4681 -3.3652 4.0900
5.0047 7.9569 2.3517
Ac Pm Sm Dy
1 1 4 2
direct
0.5000 0.5000 0.5000
0.0000 0.0000 0.0000
0.1224 0.1254 0.6299
0.3730 0.3758 0.8782
0.8776 0.8746 0.3701
0.6270 0.6242 0.1218
0.7438 0.7570 0.7555
0.2562 0.2430 0.2445


Entry 11:
AcPmSm3Dy (PBE, optimized geometry); space group = P2_1/m; E_tot = -4.57 eV/atom; size of the total moment = 0.000 μB/atom; formation energy from the elements = 38 meV per atom
1.0
5.2061 0.0000 0.0000
0.0000 8.1516 -1.2021
0.0000 -3.4357 10.4613
Ac Pm Sm Dy
2 2 6 2
direct
0.2500 0.1249 0.2927
0.7500 0.8751 0.7073
0.2500 0.6209 0.1247
0.7500 0.3791 0.8753
0.7500 0.8689 0.0399
0.2500 0.1311 0.9601
0.2500 0.6255 0.4537
0.7500 0.3745 0.5463
0.7500 0.3798 0.2076
0.2500 0.6202 0.7924
0.2500 0.1286 0.6265
0.7500 0.8714 0.3735


Entry 12:
AcPm2Sm2Dy2 (PBE, optimized geometry); space group = C2/m; E_tot = -4.57 eV/atom; size of the total moment = 0.000 μB/atom; formation energy from the elements = 34 meV per atom
1.0
-1.2872 0.6833 4.9774
0.9852 -6.0547 -1.6161
7.7681 1.9187 1.7455
Ac Pm Sm Dy
1 2 2 2
direct
0.0000 0.0000 0.0000
0.7146 0.4292 0.1506
0.2854 0.5708 0.8494
0.5741 0.1482 0.7079
0.4259 0.8518 0.2921
0.1425 0.2851 0.4337
0.8575 0.7149 0.5663